Below is a geometry-optimized La2TbSm6Y3 structure, with properties calculated at the PBE level.

As for the volume: 406 Å³ per cell. Its density of states at the Fermi level is 18.00 states/eV per cell. The calculation puts the formation energy at 0.0189 eV/atom. As for the total magnetization: 0.0 μB/f.u. The space group is C2/m, No. 12.

a b c (Å): 6.2923 6.2923 12.0275
angles (deg): 95.01 95.01 120.02
Atoms (fractional coordinates):
Tb1 0.0000 0.0000 0.0000
Y1 0.1663 0.8337 0.5000
Y2 0.5000 0.5000 0.5000
Y3 0.8337 0.1663 0.5000
Sm1 0.2477 0.2477 0.7462
Sm2 0.7523 0.7523 0.2538
Sm3 0.5834 0.9155 0.7464
Sm4 0.0845 0.4166 0.2536
Sm5 0.9155 0.5834 0.7464
Sm6 0.4166 0.0845 0.2536
La1 0.6664 0.3336 0.0000
La2 0.3336 0.6664 0.0000